Compound: RbPAu3
Source: Alexandria
Functional: GGA-PBE
Structure: relaxed

E in eV per cell: -34.41
DOS at the Fermi energy in states/eV per atom: 0.28
ΔH_f (0 K) in eV per atom: -0.199
SG: No. 12

The structure in extended XYZ format:
```
10
Lattice="4.186 0.000 -1.195 -0.312 6.363 -1.094 0.412 0.357 9.371" Properties=species:S:1:pos:R:3 pbc="T T T"
Au 2.995 3.924 2.560
Au 1.291 2.796 4.522
Au 0.478 4.867 1.674
Au 1.228 5.655 4.299
Au 3.058 1.064 2.783
Au 3.808 1.852 5.408
Rb 0.232 1.669 0.812
Rb 4.054 5.050 6.270
P 1.929 1.191 6.754
P 2.357 5.528 0.328
```


Compound: Na3Tm2TiO6
Source: Alexandria
Functional: GGA-PBE
Structure: relaxed

E in eV per cell: -82.70
DOS at the Fermi energy in states/eV per atom: 0.21
Formation energy (no corrections) in eV per formula unit: -32.154
SG: No. 12

The structure in extended XYZ format:
```
12
Lattice="-2.156 4.316 2.978 1.434 -4.820 2.617 5.334 2.135 -0.992" Properties=species:S:1:pos:R:3 pbc="T T T"
O 0.495 0.035 4.054
O 3.068 2.772 3.565
O 4.228 -0.182 3.448
O 4.117 1.596 0.550
O 0.384 1.812 1.155
O 1.544 -1.141 1.039
Na 3.519 -2.271 2.180
Na 1.093 3.902 2.423
Na 2.306 0.815 2.302
Tm 0.250 -1.806 2.736
Tm -0.971 1.301 2.859
Ti 0.000 0.000 0.000
```